No. 1
A plane-wave DFT calculation with PBE was carried out for La6BiPb after structural relaxation.

a b c (Å): 5.074 5.074 10.136
angles (deg): 90.00 90.00 90.00
Sites, in units of the cell vectors:
La 0.500 0.500 0.000
La 0.500 0.500 0.500
La 0.500 0.000 0.250
La 0.500 0.000 0.750
La 0.000 0.500 0.250
La 0.000 0.500 0.750
Bi 0.000 0.000 0.500
Pb 0.000 0.000 0.000

Properties
- DFT formation energy: -0.457 eV per atom
- Energy: -40.810 eV per cell
- Symmetry: No. 123
- Density of states at the Fermi level: 10.1 states/eV/cell

***

No. 2
A plane-wave DFT calculation with PBE was carried out for Ac2SmDyTe6 after structural relaxation.

a b c (Å): 8.131 8.131 8.515
angles (deg): 61.49 61.50 60.01
Sites, in units of the cell vectors:
Ac 0.522 0.522 0.435
Ac 0.021 0.021 0.936
Sm 0.821 0.821 0.538
Dy 0.322 0.321 0.035
Te 0.591 0.196 0.260
Te 0.196 0.953 0.260
Te 0.953 0.591 0.260
Te 0.448 0.692 0.764
Te 0.692 0.097 0.764
Te 0.097 0.448 0.764

Properties
- Energy: -50.861 eV per cell
- Symmetry: No. 146
- Density of states at the Fermi level: 0.0 states/eV/cell
- E_form (uncorrected): -14.5 eV per formula unit

***

No. 3
A plane-wave DFT calculation with PBE was carried out for LiTeN2F after structural relaxation.

a b c (Å): 3.995 3.995 3.424
angles (deg): 90.00 90.00 90.00
Sites, in units of the cell vectors:
N 0.000 0.500 0.000
N 0.500 0.000 0.000
Te 0.500 0.500 0.500
Li 0.000 0.000 0.000
F 0.000 0.000 0.500

Properties
- Energy: -20.290 eV per cell
- Symmetry: No. 123
- Density of states at the Fermi level: 2.4 states/eV/cell
- E_form (uncorrected): 3.3 eV per formula unit
- Excess energy over the best structure of this formula in the dataset: 0.417 eV per atom

***

No. 4
A plane-wave DFT calculation with PBE was carried out for Er8MgSc6 after structural relaxation.

a b c (Å): 5.936 9.060 9.060
angles (deg): 120.00 90.00 90.00
Sites, in units of the cell vectors:
Er 0.814 0.035 0.275
Er 0.814 0.725 0.760
Er 0.814 0.240 0.965
Er 0.186 0.965 0.725
Er 0.186 0.275 0.240
Er 0.186 0.760 0.035
Er 0.814 0.333 0.667
Er 0.186 0.667 0.333
Mg 0.500 0.000 0.000
Sc 0.679 0.639 0.094
Sc 0.679 0.906 0.544
Sc 0.679 0.456 0.361
Sc 0.321 0.361 0.906
Sc 0.321 0.094 0.456
Sc 0.321 0.544 0.639

Properties
- DFT formation energy: 0.193 eV per atom
- Energy: -73.196 eV per cell
- Symmetry: No. 147
- Density of states at the Fermi level: 22.9 states/eV/cell
- Excess energy over the best structure of this formula in the dataset: 0.005 eV per atom